<i>
## Pr3HN2 (PBE)

Data for an optimized crystal structure of Pr3HN2.

Cell lengths 3.662, 5.213, 11.192 Å; angles 90.00, 90.00, 90.00 degrees
Space group Immm (No. 71)
Unique sites:
Pr (0.000, 0.000, 0.000) [2 per cell]
Pr (0.000, 0.000, 0.319) [4 per cell]
H (0.000, 0.500, 0.000) [2 per cell]
N (0.000, 0.500, 0.331) [4 per cell]

=====

<ii>
## Pr3HN2 (PBE)

Data for an optimized crystal structure of Pr3HN2.

Cell lengths 3.588, 12.599, 11.411 Å; angles 90.00, 90.00, 90.00 degrees
Space group Cmcm (No. 63)
Unique sites:
Pr (0.000, 0.106, 0.250) [4 per cell]
Pr (0.000, 0.389, 0.083) [8 per cell]
H (0.000, 0.224, 0.750) [4 per cell]
N (0.000, 0.000, 0.000) [4 per cell]
N (0.000, 0.492, 0.250) [4 per cell]

=====

Energies, relative to the best one, in meV per atom: <i> 0; <ii> 216.